Compound: NaErAg2F6
Source: Alexandria
Functional: GGA-PBE
Structure: optimized geometry

## Properties
DOS at the Fermi energy ... 0.0 states/eV/f.u.
Formation energy without anion corrections ... -2588 meV/atom
Spin magnetization ... 0.2 μB/cell

Cell lengths 6.0181, 6.0214, 6.1361 Å; angles 60.98, 60.73, 60.26 degrees
With the nearest neighbours (Å) after each atom.
Space group P1 (No. 1)
Unique sites:
Na 0.0000 0.0000 0.0000 x1  6 F 2.33-2.35
Er 0.5000 0.4999 0.4999 x1  6 F 2.17
Ag 0.2665 0.2689 0.1902 x1  3 F 2.35-2.38
Ag 0.7335 0.7321 0.8085 x1  3 F 2.35-2.38
F 0.1523 0.3674 0.7616 x1  1 Er 2.17, 1 Na 2.33, 1 Ag 2.38
F 0.2648 0.8480 0.2568 x1  1 Er 2.17, 1 Na 2.34, 1 Ag 2.37
F 0.3774 0.7261 0.7521 x1  1 Er 2.17, 1 Ag 2.35, 1 Na 2.35
F 0.6224 0.2716 0.2498 x1  1 Er 2.17, 1 Na 2.35, 1 Ag 2.35
F 0.7361 0.1525 0.7424 x1  1 Er 2.17, 1 Na 2.34, 1 Ag 2.37
F 0.8471 0.6329 0.2377 x1  1 Er 2.17, 1 Na 2.33, 1 Ag 2.38



Compound: Na2ErAgF6
Source: Alexandria
Functional: GGA-PBE
Structure: optimized geometry

## Properties
DOS at the Fermi energy ... 0.0 states/eV/f.u.
Formation energy without anion corrections ... -2939 meV/atom
Spin magnetization ... 0.0 μB/cell

Cell lengths 5.8922, 5.9923, 10.6776 Å; angles 90.00, 122.75, 90.00 degrees
With the nearest neighbours (Å) after each atom.
Space group P2_1/c (No. 14)
Unique sites:
Na 0.2124 0.0253 0.2158 x4  6 F 2.28-2.55
Er 0.5000 0.0000 0.0000 x2  6 F 2.16-2.18
Ag 0.0000 0.0000 0.5000 x2  2 F 2.24
F 0.1552 0.1718 0.9757 x4  1 Er 2.16, 1 Ag 2.24, 1 Na 2.34
F 0.2087 0.7385 0.8719 x4  1 Er 2.18, 1 Na 2.31
F 0.4450 0.1469 0.8005 x4  1 Er 2.16, 2 Na 2.28-2.36



Which formula does entry 2 have? Na2ErAgF6